# 1
VASP calculation (PBE-GGA) on a relaxed structure of RuRh2W.

Cell: 4.7667 4.7667 4.7667 Å, 132.42 132.44 69.55°
With the nearest neighbours (Å) after each atom.
Atoms (fractional coordinates):
Ru (0.2500, 0.7500, 0.5000)  4 W 2.72, 8 Rh 2.74
Rh (0.0000, 0.0000, 0.0000)  4 Rh 2.72, 4 W 2.74, 4 Ru 2.74
W (0.7500, 0.2500, 0.5000)  4 Ru 2.72, 8 Rh 2.74
Rh (0.5000, 0.5000, 0.0000)  4 Rh 2.72, 4 W 2.74, 4 Ru 2.74

Results
The calculation puts the energy at -9.37 eV per atom. The value obtained for the energy above the most stable polymorph in this dataset is 0.19 eV/f.u. Its space group is I4/mmm.

---

# 2
VASP calculation (PBE-GGA) on a relaxed structure of BiRh2Au.

Cell: 4.0962 4.0962 9.8911 Å, 78.05 78.05 90.00°
With the nearest neighbours (Å) after each atom.
Atoms (fractional coordinates):
Rh (0.8750, 0.8328, 0.7500)  2 Rh 2.66, 2 Au 2.71, 2 Bi 2.84
Au (0.2500, 0.7500, 0.5000)  4 Rh 2.71, 4 Bi 2.90
Bi (0.7500, 0.2500, 0.5000)  4 Rh 2.84, 4 Au 2.90
Bi (0.0000, 0.0000, 0.0000)  4 Rh 2.84, 4 Au 2.90
Rh (0.1672, 0.6250, 0.2500)  2 Rh 2.66, 2 Au 2.71, 2 Bi 2.84
Au (0.5000, 0.5000, 0.0000)  4 Rh 2.71, 4 Bi 2.90
Rh (0.5828, 0.1250, 0.2500)  2 Rh 2.66, 2 Au 2.71, 2 Bi 2.84
Rh (0.3750, 0.4172, 0.7500)  2 Rh 2.66, 2 Au 2.71, 2 Bi 2.84

Results
The calculation puts the energy at -5.14 eV per atom. Its space group is I-42d.

---

# 3
VASP calculation (PBE-GGA) on a relaxed structure of LiPmGaCo.

Cell: 4.5774 4.5774 4.5774 Å, 60.00 60.00 60.00°
With the nearest neighbours (Å) after each atom.
Atoms (fractional coordinates):
Li (0.0000, 0.0000, 0.0000)  4 Pm 2.80, 4 Ga 2.80
Pm (0.7500, 0.7500, 0.7500)  4 Co 2.80, 4 Li 2.80
Co (0.5000, 0.5000, 0.5000)  4 Ga 2.80, 4 Pm 2.80
Ga (0.2500, 0.2500, 0.2500)  4 Co 2.80, 4 Li 2.80

Results
The calculation puts the energy at -4.37 eV per atom. Its space group is F-43m.

---

# 4
VASP calculation (PBE-GGA) on a relaxed structure of Tl2SnHg2.

Cell: 6.4526 6.4526 17.1998 Å, 50.17 50.17 32.06°
With the nearest neighbours (Å) after each atom.
Atoms (fractional coordinates):
Tl (0.3003, 0.3171, 0.1404)  5 Hg 3.29-3.68, 2 Sn 3.43, 4 Tl 3.49-3.56
Hg (0.0989, 0.1029, 0.0579)  2 Sn 3.17-3.20, 4 Tl 3.29-3.40, 2 Hg 3.31-3.32
Hg (0.9011, 0.8971, 0.9421)  2 Sn 3.17-3.20, 4 Tl 3.29-3.40, 2 Hg 3.31-3.32
Hg (0.8971, 0.9011, 0.4421)  2 Sn 3.17-3.20, 4 Tl 3.29-3.40, 2 Hg 3.31-3.32
Tl (0.6997, 0.6829, 0.8596)  5 Hg 3.29-3.68, 2 Sn 3.43, 4 Tl 3.49-3.56
Sn (0.4922, 0.5078, 0.2500)  4 Hg 3.17-3.20, 4 Tl 3.43
Tl (0.6829, 0.6997, 0.3596)  5 Hg 3.29-3.68, 2 Sn 3.43, 4 Tl 3.49-3.56
Tl (0.3171, 0.3003, 0.6404)  5 Hg 3.29-3.68, 2 Sn 3.43, 4 Tl 3.49-3.56
Sn (0.5078, 0.4922, 0.7500)  4 Hg 3.17-3.20, 4 Tl 3.43
Hg (0.1029, 0.0989, 0.5579)  2 Sn 3.17-3.20, 4 Tl 3.29-3.40, 2 Hg 3.31-3.32

Results
The calculation puts the energy at -1.83 eV per atom. The value obtained for the energy above the most stable polymorph in this dataset is 0.00 eV/f.u. Its space group is C2/c.

---

# 5
VASP calculation (PBE-GGA) on a relaxed structure of MnTlBr2.

Cell: 5.4093 4.2145 6.8495 Å, 51.99 90.00 90.00°
With the nearest neighbours (Å) after each atom.
Atoms (fractional coordinates):
Br (0.5000, 0.5008, 0.3749)  2 Mn 2.70
Br (0.0000, 0.9990, 0.8753)  2 Mn 2.70
Tl (0.5000, 0.5006, 0.8745)  8 Br 3.42-3.43
Mn (0.0000, 0.4997, 0.3753)  4 Br 2.70

Results
The calculation puts the energy at -4.02 eV per atom. The value obtained for the uncorrected formation energy is -0.30 eV/atom. The value obtained for the energy above the most stable polymorph in this dataset is 0.71 eV/f.u. Its space group is Pmmm.

---

# 6
VASP calculation (PBE-GGA) on a relaxed structure of Al2MoOs.

Cell: 4.6832 4.6832 4.6832 Å, 129.85 129.85 73.64°
With the nearest neighbours (Å) after each atom.
Atoms (fractional coordinates):
Al (0.2500, 0.7500, 0.5000)  4 Mo 2.73, 4 Al 2.73, 4 Os 2.81
Mo (0.5000, 0.5000, 0.0000)  8 Al 2.73-2.81, 4 Os 2.73
Os (0.7500, 0.2500, 0.5000)  4 Mo 2.73, 8 Al 2.73-2.81
Al (0.0000, 0.0000, 0.0000)  4 Os 2.73, 4 Al 2.73, 4 Mo 2.81

Results
The calculation puts the energy at -7.53 eV per atom. The value obtained for the energy above the most stable polymorph in this dataset is 0.70 eV/f.u. Its space group is I-4m2.